# 1
A relaxed structure of LiPu2Si3Au12, computed with PBE.

Summary:
ΔE_f (raw), eV/atom: -0.05
Space group: No. 166
Fermi-level density of states, states/eV/cell: 33.619

a = 7.6603 Å, b = 7.6603 Å, c = 7.6603 Å
α = 72.34°, β = 72.34°, γ = 72.34°
Last column: magnetic moment on the atom in μB.
Atoms (fractional coordinates):
Li 0.0000 0.0000 0.0000  0.01
Pu 0.5974 0.5974 0.5974  5.40
Pu 0.4026 0.4026 0.4026  5.40
Si 0.5000 0.0000 0.0000  0.00
Si 0.0000 0.5000 0.0000  0.00
Si 0.0000 0.0000 0.5000  0.00
Au 0.3094 0.3094 0.8547  0.00
Au 0.8498 0.8498 0.3667  -0.01
Au 0.3667 0.8498 0.8498  -0.01
Au 0.8547 0.3094 0.3094  0.00
Au 0.8498 0.3667 0.8498  -0.01
Au 0.3094 0.8547 0.3094  0.00
Au 0.6906 0.6906 0.1453  0.00
Au 0.1502 0.1502 0.6333  -0.01
Au 0.6333 0.1502 0.1502  -0.01
Au 0.1453 0.6906 0.6906  0.00
Au 0.1502 0.6333 0.1502  -0.01
Au 0.6906 0.1453 0.6906  0.00

# 2
A relaxed structure of LiPu2SiAu6, computed with PBE.

Summary:
ΔE_f (raw), eV/atom: -0.17
Space group: No. 12
Fermi-level density of states, states/eV/cell: 36.200

a = 6.7164 Å, b = 6.7166 Å, c = 6.7078 Å
α = 60.12°, β = 60.14°, γ = 90.07°
Last column: magnetic moment on the atom in μB.
Atoms (fractional coordinates):
Li 0.5000 0.5000 0.0000  -0.01
Pu 0.2053 0.7946 0.5001  5.48
Pu 0.7947 0.2054 0.4999  5.48
Si 0.0000 0.0000 0.0000  -0.02
Au 0.2536 0.7464 0.0001  -0.01
Au 0.7085 0.7086 0.0763  0.00
Au 0.2895 0.2896 0.4928  0.00
Au 0.7464 0.2536 0.9999  -0.01
Au 0.2915 0.2914 0.9237  0.00
Au 0.7105 0.7104 0.5072  0.00

# 3
A relaxed structure of LiPuSiAu, computed with PBE.

Summary:
ΔE_f (raw), eV/atom: -0.28
Space group: No. 216
Fermi-level density of states, states/eV/cell: 10.433

a = 4.8147 Å, b = 4.8147 Å, c = 4.8147 Å
α = 60.00°, β = 60.00°, γ = 60.00°
Last column: magnetic moment on the atom in μB.
Atoms (fractional coordinates):
Si 0.2500 0.2500 0.2500  -0.05
Li 0.5000 0.5000 0.5000  0.00
Au 0.7500 0.7500 0.7500  0.01
Pu 0.0000 0.0000 0.0000  5.04